(1)
# Tb5Pr2TmTh | Alexandria via LeMat-Bulk | PBE | optimized geometry
# Magnetic moment ... 0.0 μB/cell
# Energy of formation from the pure elements ... 150.6 meV per atom
# D(E_F) ... 54.1 states/eV per cell
data_Tb5Pr2TmTh
_space_group_name_H-M_alt 'C m c 21'
_space_group_IT_number 36
_cell_length_a 5.642
_cell_length_b 20.376
_cell_length_c 10.500
_cell_angle_alpha 90.00
_cell_angle_beta 90.00
_cell_angle_gamma 90.00
loop_
_space_group_symop_operation_xyz
'x,y,z'
'-x,-y,z+1/2'
'-x,y,z'
'x,-y,z+1/2'
'x+1/2,y+1/2,z'
'-x+1/2,-y+1/2,z+1/2'
'-x+1/2,y+1/2,z'
'x+1/2,-y+1/2,z+1/2'
loop_
_atom_site_label
_atom_site_fract_x
_atom_site_fract_y
_atom_site_fract_z
Tb1 0.000 0.015 0.000
Tb2 0.000 0.276 0.295
Tb3 0.000 0.299 0.687
Tb4 0.000 0.387 0.004
Tb5 0.000 0.481 0.722
Pr1 0.000 0.115 0.298
Pr2 0.000 0.116 0.710
Tm1 0.000 0.407 0.437
Th1 0.000 0.198 0.993

(2)
# Tb3Pr6Tm2Th | Alexandria via LeMat-Bulk | PBE | optimized geometry
# Magnetic moment ... 0.0 μB/cell
# Energy of formation from the pure elements ... 34.4 meV per atom
# D(E_F) ... 32.1 states/eV per cell
data_Tb3Pr6Tm2Th
_space_group_name_H-M_alt 'C 1 2/m 1'
_space_group_IT_number 12
_cell_length_a 6.295
_cell_length_b 10.895
_cell_length_c 11.981
_cell_angle_alpha 90.00
_cell_angle_beta 100.11
_cell_angle_gamma 90.00
loop_
_space_group_symop_operation_xyz
'x,y,z'
'-x,-y,-z'
'-x,y,-z'
'x,-y,z'
'x+1/2,y+1/2,z'
'-x+1/2,-y+1/2,-z'
'-x+1/2,y+1/2,-z'
'x+1/2,-y+1/2,z'
loop_
_atom_site_label
_atom_site_fract_x
_atom_site_fract_y
_atom_site_fract_z
Tb1 0.000 0.000 0.000
Tb2 0.000 0.333 0.000
Pr1 0.247 0.500 0.252
Pr2 0.248 0.335 0.748
Tm1 0.000 0.167 0.500
Th1 0.000 0.500 0.500

(3)
# Tb4Pr2TmTh | Alexandria via LeMat-Bulk | PBE | optimized geometry
# Magnetic moment ... 0.0 μB/cell
# Energy of formation from the pure elements ... 129.9 meV per atom
# D(E_F) ... 15.1 states/eV per cell
data_Tb4Pr2TmTh
_space_group_name_H-M_alt 'P 4/m m m'
_space_group_IT_number 123
_space_group_name_Hall '-P 4 2'
_cell_length_a 5.957
_cell_length_b 5.957
_cell_length_c 7.412
_cell_angle_alpha 90.00
_cell_angle_beta 90.00
_cell_angle_gamma 90.00
loop_
_atom_site_label
_atom_site_fract_x
_atom_site_fract_y
_atom_site_fract_z
Tb1 0.000 0.500 0.250
Pr1 0.000 0.000 0.000
Pr2 0.500 0.500 0.500
Tm1 0.000 0.000 0.500
Th1 0.500 0.500 0.000

(4)
# Tb2PrTm4Th | Alexandria via LeMat-Bulk | PBE | optimized geometry
# Magnetic moment ... 0.0 μB/cell
# Energy of formation from the pure elements ... 29.5 meV per atom
# D(E_F) ... 11.6 states/eV per cell
data_Tb2PrTm4Th
_space_group_name_H-M_alt 'P m m m'
_space_group_IT_number 47
_cell_length_a 5.057
_cell_length_b 5.069
_cell_length_c 9.858
_cell_angle_alpha 90.00
_cell_angle_beta 90.00
_cell_angle_gamma 90.00
loop_
_space_group_symop_operation_xyz
'x,y,z'
'-x,-y,-z'
'-x,-y,z'
'x,y,-z'
'x,-y,-z'
'-x,y,z'
'-x,y,-z'
'x,-y,z'
loop_
_atom_site_label
_atom_site_fract_x
_atom_site_fract_y
_atom_site_fract_z
Tb1 0.000 0.000 0.000
Tb2 0.500 0.500 0.500
Pr1 0.000 0.000 0.500
Tm1 0.000 0.500 0.245
Tm2 0.500 0.000 0.245
Th1 0.500 0.500 0.000

What is the formula in the third record?
Tb4Pr2TmTh